{"formula": "LiNd2UP4", "functional": "PBE", "state": "optimized geometry", "lattice_angstrom": [[-0.993, 3.568, -1.702], [-5.697, -2.851, -2.653], [-1.498, 2.588, 6.299]], "species": ["P", "P", "Li", "Nd", "Nd", "P", "U", "P"], "frac_coords": [[0.000, 0.761, 0.230], [0.500, 0.762, 0.770], [0.500, 0.500, 0.000], [0.000, 0.500, 0.500], [0.500, 0.000, 0.500], [0.000, 0.239, 0.770], [0.000, 0.000, 0.000], [0.500, 0.238, 0.230]], "sg": "P2/m (10)", "total_energy_ev_per_cell": -52.5}



{"formula": "Np3V5Se12", "functional": "PBE", "state": "optimized geometry", "lattice_angstrom": [[-9.030, 8.914, -4.859], [-6.502, -9.714, 6.926], [8.692, 6.400, 8.252]], "species": ["Se", "Se", "V", "Se", "V", "Se", "V", "Se", "Se", "Se", "Np", "V", "Np", "Se", "Se", "Se", "Np", "V", "Se", "Se", "Se", "Se", "Se", "Se", "Np", "V", "Se", "V", "Se", "Se", "Se", "V", "Se", "V", "Se", "Se", "Np", "V", "Se", "Np", "Se", "Se", "Np", "Se", "Se", "Se", "V", "Np", "V", "Se", "V", "Se", "Se", "Se", "Se", "Se", "Se", "V", "Np", "Np", "V", "Se", "Se", "Se", "Se", "Se", "V", "V", "Se", "Se", "Se", "Se", "V", "V", "Se", "Se", "V", "Np", "Np", "Se"], "frac_coords": [[0.822, 0.912, 0.033], [0.289, 0.410, 0.822], [0.000, 0.000, 0.500], [0.121, 0.711, 0.533], [0.875, 0.625, 0.750], [0.910, 0.088, 0.621], [0.500, 0.500, 0.000], [0.912, 0.822, 0.533], [0.410, 0.121, 0.588], [0.879, 0.289, 0.467], [0.750, 0.375, 0.125], [0.500, 0.000, 0.000], [0.250, 0.125, 0.375], [0.211, 0.678, 0.090], [0.412, 0.033, 0.322], [0.322, 0.789, 0.410], [0.625, 0.375, 0.750], [0.625, 0.750, 0.875], [0.467, 0.789, 0.879], [0.590, 0.879, 0.412], [0.211, 0.533, 0.621], [0.678, 0.211, 0.590], [0.912, 0.090, 0.879], [0.379, 0.412, 0.090], [0.250, 0.625, 0.875], [0.000, 0.500, 0.500], [0.967, 0.588, 0.178], [0.875, 0.250, 0.625], [0.410, 0.289, 0.322], [0.967, 0.379, 0.289], [0.121, 0.410, 0.088], [0.125, 0.375, 0.250], [0.588, 0.967, 0.678], [0.750, 0.625, 0.375], [0.879, 0.590, 0.912], [0.090, 0.912, 0.379], [0.125, 0.250, 0.875], [0.250, 0.375, 0.625], [0.789, 0.467, 0.379], [0.125, 0.875, 0.750], [0.090, 0.178, 0.211], [0.088, 0.178, 0.467], [0.875, 0.125, 0.250], [0.678, 0.467, 0.588], [0.822, 0.910, 0.289], [0.088, 0.910, 0.121], [0.125, 0.750, 0.375], [0.625, 0.250, 0.375], [0.500, 0.500, 0.500], [0.533, 0.211, 0.121], [0.375, 0.125, 0.750], [0.711, 0.590, 0.178], [0.379, 0.967, 0.789], [0.590, 0.711, 0.678], [0.711, 0.121, 0.033], [0.910, 0.822, 0.789], [0.588, 0.621, 0.410], [0.000, 0.000, 0.000], [0.375, 0.750, 0.625], [0.375, 0.625, 0.250], [0.625, 0.875, 0.250], [0.178, 0.088, 0.967], [0.467, 0.678, 0.088], [0.621, 0.588, 0.910], [0.033, 0.412, 0.822], [0.289, 0.879, 0.967], [0.750, 0.125, 0.875], [0.000, 0.500, 0.000], [0.033, 0.621, 0.711], [0.412, 0.379, 0.590], [0.789, 0.322, 0.910], [0.178, 0.090, 0.711], [0.375, 0.250, 0.125], [0.250, 0.875, 0.125], [0.621, 0.033, 0.211], [0.322, 0.533, 0.412], [0.500, 0.000, 0.500], [0.875, 0.750, 0.125], [0.750, 0.875, 0.625], [0.533, 0.322, 0.912]], "raw_formation_energy_ev_per_atom": -0.77, "sg": "Ia-3d (230)", "total_energy_ev_per_cell": -566.3}



{"formula": "Li3Dy5Te8", "functional": "PBE", "state": "optimized geometry", "lattice_angstrom": [[7.496, 0.000, 4.294], [2.518, 7.061, 4.294], [0.013, 0.009, 8.667]], "species": ["Li", "Te", "Te", "Te", "Te", "Li", "Li", "Te", "Dy", "Te", "Te", "Dy", "Dy", "Dy", "Te", "Dy"], "frac_coords": [[0.000, 0.500, 0.500], [0.752, 0.752, 0.743], [0.750, 0.242, 0.258], [0.250, 0.758, 0.742], [0.750, 0.750, 0.258], [0.000, 0.000, 0.500], [0.500, 0.000, 0.500], [0.250, 0.250, 0.742], [0.000, 0.000, 0.000], [0.248, 0.248, 0.257], [0.242, 0.750, 0.258], [0.000, 0.500, 0.000], [0.500, 0.500, 0.500], [0.500, 0.500, 0.000], [0.758, 0.250, 0.742], [0.500, 0.000, 0.000]], "raw_formation_energy_ev_per_atom": -1.31, "sg": "R-3m (166)", "total_energy_ev_per_cell": -74.8}



{"formula": "Sr12Cd3Rh5", "functional": "PBE", "state": "optimized geometry", "lattice_angstrom": [[15.941, 0.000, 0.000], [-5.314, 15.029, 0.000], [-5.314, -7.515, 13.016]], "species": ["Rh", "Sr", "Sr", "Rh", "Sr", "Rh", "Sr", "Rh", "Sr", "Cd", "Cd", "Cd", "Sr", "Rh", "Cd", "Sr", "Sr", "Sr", "Sr", "Sr", "Sr", "Sr", "Sr", "Rh", "Sr", "Rh", "Cd", "Sr", "Sr", "Sr", "Sr", "Sr", "Sr", "Rh", "Sr", "Sr", "Sr", "Sr", "Cd", "Sr", "Cd", "Rh", "Rh", "Rh", "Sr", "Sr", "Sr", "Sr", "Sr", "Sr", "Sr", "Rh", "Sr", "Sr", "Sr", "Sr", "Rh", "Sr", "Cd", "Sr", "Sr", "Sr", "Rh", "Cd", "Sr", "Rh", "Sr", "Sr", "Sr", "Sr", "Cd", "Rh", "Rh", "Cd", "Sr", "Rh", "Sr", "Rh", "Cd", "Rh"], "frac_coords": [[0.500, 0.000, 0.500], [0.977, 0.387, 0.297], [0.820, 0.910, 0.297], [0.625, 0.750, 0.875], [0.180, 0.090, 0.977], [0.000, 0.500, 0.000], [0.387, 0.977, 0.797], [0.000, 0.000, 0.500], [0.477, 0.680, 0.090], [0.750, 0.875, 0.625], [0.375, 0.625, 0.250], [0.250, 0.625, 0.875], [0.297, 0.410, 0.820], [0.375, 0.250, 0.125], [0.375, 0.750, 0.625], [0.910, 0.820, 0.797], [0.203, 0.523, 0.613], [0.180, 0.090, 0.703], [0.410, 0.387, 0.590], [0.680, 0.203, 0.590], [0.910, 0.090, 0.887], [0.910, 0.820, 0.523], [0.113, 0.703, 0.523], [0.250, 0.875, 0.125], [0.613, 0.023, 0.203], [0.750, 0.625, 0.375], [0.875, 0.750, 0.125], [0.590, 0.703, 0.680], [0.820, 0.910, 0.023], [0.113, 0.410, 0.090], [0.320, 0.797, 0.410], [0.887, 0.590, 0.910], [0.523, 0.203, 0.113], [0.500, 0.500, 0.500], [0.977, 0.590, 0.180], [0.090, 0.910, 0.387], [0.477, 0.797, 0.887], [0.023, 0.410, 0.820], [0.125, 0.875, 0.750], [0.387, 0.410, 0.090], [0.625, 0.250, 0.375], [0.625, 0.875, 0.250], [0.875, 0.250, 0.625], [0.375, 0.125, 0.750], [0.203, 0.680, 0.090], [0.410, 0.023, 0.320], [0.887, 0.297, 0.477], [0.297, 0.887, 0.977], [0.023, 0.613, 0.703], [0.090, 0.910, 0.113], [0.703, 0.590, 0.180], [0.000, 0.500, 0.500], [0.797, 0.477, 0.387], [0.613, 0.590, 0.910], [0.590, 0.977, 0.680], [0.410, 0.113, 0.590], [0.875, 0.625, 0.750], [0.590, 0.613, 0.410], [0.625, 0.375, 0.750], [0.090, 0.180, 0.477], [0.590, 0.887, 0.410], [0.797, 0.320, 0.910], [0.500, 0.500, 0.000], [0.125, 0.250, 0.875], [0.910, 0.090, 0.613], [0.125, 0.750, 0.375], [0.090, 0.180, 0.203], [0.523, 0.320, 0.910], [0.410, 0.297, 0.320], [0.703, 0.113, 0.023], [0.750, 0.375, 0.125], [0.750, 0.125, 0.875], [0.250, 0.375, 0.625], [0.250, 0.125, 0.375], [0.680, 0.477, 0.590], [0.500, 0.000, 0.000], [0.320, 0.523, 0.410], [0.000, 0.000, 0.000], [0.875, 0.125, 0.250], [0.125, 0.375, 0.250]], "sg": "Ia-3d (230)", "total_energy_ev_per_cell": -239.4}



{"formula": "TlAsPbO4", "functional": "PBE", "state": "optimized geometry", "lattice_angstrom": [[-2.264, -5.687, 1.707], [3.746, -2.681, -3.962], [6.339, 2.336, 4.412]], "species": ["O", "O", "As", "Pb", "Tl", "Pb", "O", "O", "O", "O", "O", "O", "Tl", "As"], "frac_coords": [[0.910, 0.479, 0.752], [0.090, 0.979, 0.248], [0.732, 0.250, 0.701], [0.197, 0.250, 0.478], [0.693, 0.750, 0.964], [0.803, 0.750, 0.522], [0.910, 0.021, 0.752], [0.452, 0.750, 0.191], [0.090, 0.521, 0.248], [0.563, 0.250, 0.471], [0.437, 0.750, 0.529], [0.548, 0.250, 0.809], [0.307, 0.250, 0.036], [0.268, 0.750, 0.299]], "raw_formation_energy_ev_per_atom": -1.19, "sg": "P2_1/m (11)", "total_energy_ev_per_cell": -77.8}



{"formula": "Pm4HoSe5", "functional": "PBE", "state": "optimized geometry", "lattice_angstrom": [[-2.272, -3.491, 0.243], [1.780, -3.566, 1.234], [-4.042, 1.298, 16.631]], "species": ["Pm", "Pm", "Pm", "Se", "Pm", "Se", "Se", "Ho", "Se", "Se"], "frac_coords": [[0.701, 0.701, 0.898], [0.101, 0.101, 0.697], [0.899, 0.899, 0.303], [0.802, 0.802, 0.593], [0.299, 0.299, 0.102], [0.599, 0.599, 0.203], [0.198, 0.198, 0.407], [0.500, 0.500, 0.500], [0.000, 0.000, 0.000], [0.401, 0.401, 0.797]], "raw_formation_energy_ev_per_atom": -1.81, "sg": "R-3m (166)", "total_energy_ev_per_cell": -59.1, "de_polymorph_ev_per_atom": 0.0000}



{"formula": "Ga2Fe2Sn", "functional": "PBE", "state": "optimized geometry", "lattice_angstrom": [[-0.064, 6.692, -0.914], [-4.355, -0.739, -5.110], [-2.466, 0.258, 2.065]], "species": ["Sn", "Ga", "Fe", "Sn", "Fe", "Fe", "Ga", "Ga", "Ga", "Fe"], "frac_coords": [[0.500, 0.500, 0.000], [0.855, 0.355, 0.500], [0.148, 0.352, 0.000], [0.000, 0.000, 0.000], [0.852, 0.648, 0.000], [0.648, 0.148, 0.000], [0.355, 0.145, 0.500], [0.645, 0.855, 0.500], [0.145, 0.645, 0.500], [0.352, 0.852, 0.000]], "sg": "P4/mbm (127)", "total_energy_ev_per_cell": -53.0, "de_polymorph_ev_per_atom": 0.0000}



{"formula": "Ac3Cu2Si3", "functional": "PBE", "state": "optimized geometry", "lattice_angstrom": [[-2.415, 3.531, -0.371], [-1.375, -2.983, 5.417], [10.591, 7.989, 7.086]], "species": ["Cu", "Ac", "Si", "Si", "Ac", "Cu", "Si", "Cu", "Ac", "Ac", "Si", "Si", "Cu", "Si", "Ac", "Ac"], "frac_coords": [[0.225, 0.450, 0.098], [0.074, 0.148, 0.604], [0.338, 0.676, 0.250], [0.656, 0.312, 0.459], [0.926, 0.852, 0.104], [0.775, 0.550, 0.598], [0.344, 0.688, 0.541], [0.225, 0.450, 0.402], [0.074, 0.148, 0.896], [0.361, 0.723, 0.750], [0.344, 0.688, 0.959], [0.656, 0.312, 0.041], [0.775, 0.550, 0.902], [0.662, 0.324, 0.750], [0.926, 0.852, 0.396], [0.639, 0.277, 0.250]], "raw_formation_energy_ev_per_atom": -0.45, "sg": "Cmcm (63)", "total_energy_ev_per_cell": -80.8, "de_polymorph_ev_per_atom": 0.0586}



{"formula": "Ca2CdGa4Pt3", "functional": "PBE", "state": "optimized geometry", "lattice_angstrom": [[4.220, 0.000, 0.000], [0.000, 4.220, 0.000], [0.000, 0.000, 11.194]], "species": ["Pt", "Ca", "Cd", "Ga", "Ca", "Pt", "Ga", "Ga", "Ga", "Pt"], "frac_coords": [[0.500, 0.000, 0.869], [0.000, 0.500, 0.759], [0.500, 0.500, 0.500], [0.000, 0.500, 0.354], [0.500, 0.000, 0.241], [0.000, 0.000, 0.500], [0.500, 0.500, 0.000], [0.000, 0.000, 0.000], [0.500, 0.000, 0.646], [0.000, 0.500, 0.131]], "sg": "P-4m2 (115)", "total_energy_ev_per_cell": -42.4}



{"formula": "FeNi3Pt3", "functional": "PBE", "state": "optimized geometry", "lattice_angstrom": [[7.323, 0.000, 0.000], [0.000, 7.323, 0.000], [0.000, 0.000, 7.323]], "species": ["Ni", "Ni", "Fe", "Ni", "Pt", "Ni", "Pt", "Pt", "Ni", "Pt", "Pt", "Ni", "Pt", "Fe", "Ni", "Ni", "Ni", "Ni", "Ni", "Pt", "Fe", "Pt", "Pt", "Pt", "Ni", "Fe", "Pt", "Pt"], "frac_coords": [[0.352, 0.148, 0.852], [0.466, 0.534, 0.034], [0.350, 0.350, 0.350], [0.837, 0.663, 0.337], [0.452, 0.683, 0.367], [0.534, 0.034, 0.466], [0.683, 0.367, 0.452], [0.548, 0.183, 0.133], [0.163, 0.163, 0.163], [0.633, 0.952, 0.817], [0.317, 0.867, 0.048], [0.034, 0.466, 0.534], [0.867, 0.048, 0.317], [0.850, 0.150, 0.650], [0.852, 0.352, 0.148], [0.966, 0.966, 0.966], [0.648, 0.648, 0.648], [0.663, 0.337, 0.837], [0.148, 0.852, 0.352], [0.817, 0.633, 0.952], [0.650, 0.850, 0.150], [0.133, 0.548, 0.183], [0.952, 0.817, 0.633], [0.367, 0.452, 0.683], [0.337, 0.837, 0.663], [0.150, 0.650, 0.850], [0.048, 0.317, 0.867], [0.183, 0.133, 0.548]], "sg": "P2_13 (198)", "total_energy_ev_per_cell": -174.7, "de_polymorph_ev_per_atom": 0.0000}



{"formula": "ScHgHPt2", "functional": "PBE", "state": "optimized geometry", "lattice_angstrom": [[4.116, 0.000, 0.000], [0.000, 4.116, 0.000], [0.000, 0.000, 4.341]], "species": ["H", "Pt", "Hg", "Pt", "Sc"], "frac_coords": [[0.000, 0.000, 0.000], [0.500, 0.000, 0.000], [0.500, 0.500, 0.500], [0.000, 0.500, 0.000], [0.000, 0.000, 0.500]], "sg": "P4/mmm (123)", "total_energy_ev_per_cell": -24.2}



{"formula": "GeSbAu3", "functional": "PBE", "state": "optimized geometry", "lattice_angstrom": [[-1.551, -3.724, 2.830], [-2.777, -1.666, -3.714], [3.763, -2.765, -1.574]], "species": ["Sb", "Ge", "Au", "Au", "Au"], "frac_coords": [[0.500, 0.500, 0.500], [0.000, 0.000, 0.000], [0.000, 0.000, 0.500], [0.500, 0.000, 0.000], [0.000, 0.500, 0.000]], "raw_formation_energy_ev_per_atom": 0.44, "sg": "Pm-3m (221)", "total_energy_ev_per_cell": -16.4, "de_polymorph_ev_per_atom": 0.4224}



{"formula": "BaZr2Cu", "functional": "PBE", "state": "optimized geometry", "lattice_angstrom": [[6.073, -0.006, 0.000], [2.924, 5.323, 0.000], [-4.499, -2.659, 3.095]], "species": ["Ba", "Zr", "Cu", "Zr"], "frac_coords": [[0.250, 0.750, 0.500], [0.000, 0.000, 0.000], [0.750, 0.250, 0.500], [0.500, 0.500, 0.000]], "sg": "I4/mmm (139)", "total_energy_ev_per_cell": -20.6, "de_polymorph_ev_per_atom": 0.4954}



{"formula": "YCdPd2", "functional": "PBE", "state": "optimized geometry", "lattice_angstrom": [[-0.641, -1.496, 3.093], [4.633, -0.122, 0.901], [-0.278, 4.266, 2.005]], "species": ["Pd", "Pd", "Y", "Cd"], "frac_coords": [[0.000, 0.500, 0.000], [0.000, 0.000, 0.500], [0.500, 0.000, 0.000], [0.500, 0.500, 0.500]], "sg": "P4/mmm (123)", "total_energy_ev_per_cell": -20.4}



{"formula": "Li2AgBiBr6", "functional": "PBE", "state": "optimized geometry", "lattice_angstrom": [[7.095, 0.001, 0.000], [3.548, 6.144, 0.000], [3.547, 2.048, 6.489]], "species": ["Li", "Br", "Br", "Bi", "Ag", "Br", "Br", "Li", "Br", "Br"], "frac_coords": [[0.005, 0.005, 0.984], [0.234, 0.903, 0.250], [0.903, 0.613, 0.250], [0.324, 0.324, 0.028], [0.811, 0.811, 0.567], [0.393, 0.744, 0.745], [0.744, 0.118, 0.745], [0.517, 0.517, 0.450], [0.118, 0.393, 0.745], [0.613, 0.234, 0.250]], "raw_formation_energy_ev_per_atom": -0.95, "sg": "R3 (146)", "total_energy_ev_per_cell": -30.1}



{"formula": "NaScH2S", "functional": "PBE", "state": "optimized geometry", "lattice_angstrom": [[4.014, 0.000, 0.000], [0.000, 4.014, 0.000], [0.000, 0.000, 4.976]], "species": ["Na", "Sc", "H", "H", "S"], "frac_coords": [[0.500, 0.500, 0.500], [0.000, 0.000, 0.000], [0.000, 0.500, 0.000], [0.500, 0.000, 0.000], [0.000, 0.000, 0.500]], "sg": "P4/mmm (123)", "total_energy_ev_per_cell": -22.5}